Record 1
# Er2AlZn5, relaxed, DFT GGA-PBE
# - DOS(E_F): 22.4 states/eV/cell
# - Energy of formation: -0.339 eV per atom
data_Er2AlZn5
_cell_length_a 4.279
_cell_length_b 15.804
_cell_length_c 8.910
_cell_angle_alpha 90.00
_cell_angle_beta 90.00
_cell_angle_gamma 90.00
_symmetry_space_group_name_H-M 'C m c m'
_symmetry_Int_Tables_number 63
_symmetry_space_group_name_Hall '-C 2c 2'
loop_
_atom_site_label
_atom_site_type_symbol
_atom_site_fract_x
_atom_site_fract_y
_atom_site_fract_z
Er1 Er 0.000 0.000 0.000
Er2 Er 0.000 0.198 0.250
Al1 Al 0.000 0.447 0.750
Zn1 Zn 0.000 0.190 0.607
Zn2 Zn 0.000 0.353 0.523
Zn3 Zn 0.000 0.396 0.250


Record 2
# LiNdLu2, relaxed, DFT GGA-PBE
# - DOS(E_F): 6.1 states/eV/cell
# - E above lowest polymorph: 0.099 eV per atom
# - Energy of formation: 0.189 eV per atom
data_LiNdLu2
_cell_length_a 4.777
_cell_length_b 4.777
_cell_length_c 5.059
_cell_angle_alpha 90.00
_cell_angle_beta 90.00
_cell_angle_gamma 90.00
_symmetry_space_group_name_H-M 'P 4/m m m'
_symmetry_Int_Tables_number 123
_symmetry_space_group_name_Hall '-P 4 2'
loop_
_atom_site_label
_atom_site_type_symbol
_atom_site_fract_x
_atom_site_fract_y
_atom_site_fract_z
Li1 Li 0.000 0.000 0.000
Nd1 Nd 0.500 0.500 0.000
Lu1 Lu 0.000 0.500 0.500


Record 3
# CaBrCl3, relaxed, DFT GGA-PBE
# - DOS(E_F): 1.4 states/eV/cell
# - E above lowest polymorph: 0.532 eV per atom
data_CaBrCl3
_cell_length_a 5.406
_cell_length_b 5.406
_cell_length_c 5.406
_cell_angle_alpha 90.00
_cell_angle_beta 90.00
_cell_angle_gamma 90.00
_symmetry_space_group_name_H-M 'P m -3 m'
_symmetry_Int_Tables_number 221
_symmetry_space_group_name_Hall '-P 4 2 3'
loop_
_atom_site_label
_atom_site_type_symbol
_atom_site_fract_x
_atom_site_fract_y
_atom_site_fract_z
Ca1 Ca 0.000 0.000 0.000
Br1 Br 0.500 0.500 0.500
Cl1 Cl 0.000 0.500 0.500


Record 4
# Rb2LiAgI6, relaxed, DFT GGA-PBE
# - DOS(E_F): 16.0 states/eV/cell
data_Rb2LiAgI6
_cell_length_a 8.230
_cell_length_b 8.230
_cell_length_c 11.700
_cell_angle_alpha 90.00
_cell_angle_beta 90.00
_cell_angle_gamma 90.00
_symmetry_space_group_name_H-M 'I 4/m m m'
_symmetry_Int_Tables_number 139
_symmetry_space_group_name_Hall '-I 4 2'
loop_
_atom_site_label
_atom_site_type_symbol
_atom_site_fract_x
_atom_site_fract_y
_atom_site_fract_z
Rb1 Rb 0.000 0.500 0.250
Li1 Li 0.000 0.000 0.000
Ag1 Ag 0.000 0.000 0.500
I1 I 0.000 0.000 0.249
I2 I 0.248 0.248 0.500


Record 5
# Cd2GeSbRu, relaxed, DFT GGA-PBE
# - DOS(E_F): 3.7 states/eV/cell
data_Cd2GeSbRu
_cell_length_a 5.223
_cell_length_b 5.223
_cell_length_c 4.895
_cell_angle_alpha 90.00
_cell_angle_beta 90.00
_cell_angle_gamma 90.00
_symmetry_space_group_name_H-M 'P 4/m m m'
_symmetry_Int_Tables_number 123
_symmetry_space_group_name_Hall '-P 4 2'
loop_
_atom_site_label
_atom_site_type_symbol
_atom_site_fract_x
_atom_site_fract_y
_atom_site_fract_z
Cd1 Cd 0.000 0.500 0.000
Ge1 Ge 0.000 0.000 0.500
Sb1 Sb 0.500 0.500 0.500
Ru1 Ru 0.500 0.500 0.000


Record 6
# LaPtW, relaxed, DFT GGA-PBE
# - DOS(E_F): 7.0 states/eV/cell
# - E above lowest polymorph: 0.133 eV per atom
# - Energy of formation: 0.046 eV per atom
data_LaPtW
_cell_length_a 2.975
_cell_length_b 3.833
_cell_length_c 11.433
_cell_angle_alpha 90.00
_cell_angle_beta 90.00
_cell_angle_gamma 90.00
_symmetry_space_group_name_H-M 'I m m 2'
_symmetry_Int_Tables_number 44
loop_
_symmetry_equiv_pos_as_xyz
'x,y,z'
'-x,-y,z'
'-x,y,z'
'x,-y,z'
'x+1/2,y+1/2,z+1/2'
'-x+1/2,-y+1/2,z+1/2'
'-x+1/2,y+1/2,z+1/2'
'x+1/2,-y+1/2,z+1/2'
loop_
_atom_site_label
_atom_site_type_symbol
_atom_site_fract_x
_atom_site_fract_y
_atom_site_fract_z
La1 La 0.000 0.000 0.000
Pt1 Pt 0.000 0.000 0.703
W1 W 0.000 0.000 0.296


Total energy, respectively: -0.202; -0.275; -0.171; -0.175; -0.255; -0.583 Ry per atom.